A plane-wave DFT calculation with PBE was carried out for an optimized crystal structure of BaCaZr.

## Properties
- Formation energy from the elements: 1.37 eV per formula unit
- Mass density: 3.79 g/cm3
- Size of the total moment: 0.00 μB per formula unit
- DOS at the Fermi energy: 2.86 states/eV/f.u.

Cell lengths 11.2042, 6.1345, 7.1156 Å; angles 90.00, 105.64, 90.00 degrees
Closest atoms and distances in Å follow each position.
Space group Cm (No. 8)
Symmetry-distinct sites (fractional):
Ba 0.0000 0.0000 0.0000  5 Zr 3.68-4.11, 3 Ca 3.72-4.04
Ba 0.2421 0.0000 0.5795  4 Ca 3.59-3.93, 5 Zr 3.64-3.93
Ca 0.1051 0.5000 0.6883  3 Ba 3.61-3.93, 4 Zr 3.66-3.88, 1 Ca 3.88
Ca 0.3742 0.0000 0.1720  5 Zr 3.54-3.72, 3 Ba 3.59-3.72, 1 Ca 3.88
Zr 0.1971 0.5000 0.2228  1 Zr 2.49
Zr 0.4055 0.5000 0.4631  1 Zr 2.49

---

A plane-wave DFT calculation with PBE was carried out for an optimized crystal structure of BaCaZr.

## Properties
- Formation energy from the elements: 2.02 eV per formula unit
- Mass density: 3.88 g/cm3
- Size of the total moment: 2.61 μB per formula unit
- DOS at the Fermi energy: 6.18 states/eV/f.u.

Cell lengths 5.9904, 10.3749, 7.3950 Å; angles 90.00, 90.00, 90.00 degrees
Closest atoms and distances in Å follow each position.
Space group Cmcm (No. 63)
Symmetry-distinct sites (fractional):
Ba 0.0000 0.0000 0.0000  2 Ba 3.70, 6 Zr 3.92, 6 Ca 3.92
Ca 0.0000 0.3337 0.2500  5 Zr 3.46-3.70
Zr 0.0000 0.3328 0.7500  5 Ca 3.46-3.70

---

A plane-wave DFT calculation with PBE was carried out for an optimized crystal structure of BaCaZr.

## Properties
- Formation energy from the elements: 1.04 eV per formula unit
- Mass density: 3.83 g/cm3
- Size of the total moment: 0.92 μB per formula unit
- DOS at the Fermi energy: 2.28 states/eV/f.u.

Cell lengths 14.0343, 3.7747, 9.3377 Å; angles 90.00, 109.56, 90.00 degrees
Closest atoms and distances in Å follow each position.
Space group Cm (No. 8)
Symmetry-distinct sites (fractional):
Ba 0.0000 0.0000 0.0000  5 Ba 3.77-4.09, 3 Zr 3.79-3.84, 2 Ca 4.15
Ba 0.2041 0.5000 0.8428  4 Zr 3.69-3.71, 5 Ba 3.77-4.09, 1 Ca 3.81
Ca 0.1412 0.5000 0.4126  4 Zr 3.54-3.61, 4 Ca 3.77-3.91, 1 Ba 3.81
Ca 0.3387 0.0000 0.2745  3 Zr 3.42-3.49, 2 Ca 3.77
Zr 0.3486 0.0000 0.6450  2 Zr 2.91
Zr 0.4873 0.5000 0.5824  2 Zr 2.91

---

A plane-wave DFT calculation with PBE was carried out for an optimized crystal structure of BaCaZr.

## Properties
- Formation energy from the elements: 3.05 eV per formula unit
- Mass density: 3.20 g/cm3
- Size of the total moment: 3.24 μB per formula unit
- DOS at the Fermi energy: 7.61 states/eV/f.u.

Cell lengths 8.2321, 8.2321, 8.2321 Å; angles 90.00, 90.00, 90.00 degrees
Closest atoms and distances in Å follow each position.
Space group F-43m (No. 216)
Symmetry-distinct sites (fractional):
Ba 0.0000 0.0000 0.0000  4 Zr 3.56
Ca 0.0000 0.0000 0.5000  4 Zr 3.56
Zr 0.2500 0.2500 0.7500  4 Ba 3.56, 4 Ca 3.56

---

A plane-wave DFT calculation with PBE was carried out for an optimized crystal structure of Ba3CaZr.

## Properties
- Formation energy from the elements: 2.97 eV per formula unit
- Mass density: 3.42 g/cm3
- Size of the total moment: 0.36 μB per formula unit
- DOS at the Fermi energy: 5.58 states/eV/f.u.

Cell lengths 6.4149, 6.4149, 6.4149 Å; angles 90.00, 90.00, 90.00 degrees
Closest atoms and distances in Å follow each position.
Space group Pm-3m (No. 221)
Symmetry-distinct sites (fractional):
Ba 0.0000 0.0000 0.5000  2 Zr 3.21
Ca 0.5000 0.5000 0.5000  12 Ba 4.54
Zr 0.0000 0.0000 0.0000  6 Ba 3.21

---

A plane-wave DFT calculation with PBE was carried out for an optimized crystal structure of BaCaZr.

## Properties
- Formation energy from the elements: 1.26 eV per formula unit
- Mass density: 3.49 g/cm3
- Size of the total moment: 0.00 μB per formula unit
- DOS at the Fermi energy: 3.81 states/eV/f.u.

Cell lengths 12.4581, 4.8099, 8.9057 Å; angles 90.00, 106.45, 90.00 degrees
Closest atoms and distances in Å follow each position.
Space group Cm (No. 8)
Symmetry-distinct sites (fractional):
Ba 0.0000 0.0000 0.0000  3 Zr 3.63-3.79
Ba 0.1677 0.5000 0.7354  3 Zr 3.61-3.85, 3 Ca 3.81-3.91
Ca 0.2559 0.5000 0.2476  4 Zr 3.44-3.73, 2 Ca 3.64
Ca 0.3508 0.0000 0.5639  1 Zr 3.30, 2 Ca 3.64
Zr 0.0377 0.0000 0.4374  2 Zr 2.67
Zr 0.4932 0.0000 0.3030  2 Zr 2.67

---

A plane-wave DFT calculation with PBE was carried out for an optimized crystal structure of BaCaZr2.

## Properties
- Formation energy from the elements: 1.79 eV per formula unit
- Mass density: 4.49 g/cm3
- Size of the total moment: 0.00 μB per formula unit
- DOS at the Fermi energy: 5.58 states/eV/f.u.

Cell lengths 10.3818, 3.3826, 7.6068 Å; angles 90.00, 94.69, 90.00 degrees
Closest atoms and distances in Å follow each position.
Space group Cm (No. 8)
Symmetry-distinct sites (fractional):
Ba 0.0000 0.0000 0.0000  2 Ba 3.38, 5 Zr 3.55-3.74, 1 Ca 3.61
Ca 0.2357 0.0000 0.6768  5 Zr 3.36-3.53, 2 Ca 3.38, 1 Ba 3.61
Zr 0.2537 0.5000 0.2981  3 Zr 2.99-3.04
Zr 0.4874 0.0000 0.4213  3 Zr 2.99-3.04

---

A plane-wave DFT calculation with PBE was carried out for an optimized crystal structure of BaCaZr2.

## Properties
- Formation energy from the elements: 2.34 eV per formula unit
- Mass density: 4.91 g/cm3
- Size of the total moment: 0.00 μB per formula unit
- DOS at the Fermi energy: 4.76 states/eV/f.u.

Cell lengths 3.4159, 3.4159, 36.1456 Å; angles 90.00, 90.00, 120.00 degrees
Closest atoms and distances in Å follow each position.
Space group R-3m (No. 166, hexagonal axes)
Symmetry-distinct sites (fractional):
Ba 0.0000 0.0000 0.0000  6 Ba 3.42, 6 Zr 3.65
Ca 0.0000 0.0000 0.5000  6 Ca 3.42, 6 Zr 3.55
Zr 0.0000 0.0000 0.2485  6 Zr 3.42, 3 Ca 3.55, 3 Ba 3.65

---

A plane-wave DFT calculation with PBE was carried out for an optimized crystal structure of BaCaZr2.

## Properties
- Formation energy from the elements: 2.52 eV per formula unit
- Mass density: 4.89 g/cm3
- Size of the total moment: 0.00 μB per formula unit
- DOS at the Fermi energy: 6.19 states/eV/f.u.

Cell lengths 4.7443, 4.7443, 10.8517 Å; angles 90.00, 90.00, 90.00 degrees
Closest atoms and distances in Å follow each position.
Space group I4/mmm (No. 139)
Symmetry-distinct sites (fractional):
Ba 0.0000 0.0000 0.0000  4 Ca 3.35, 8 Zr 3.60
Ca 0.0000 0.0000 0.5000  4 Ba 3.35, 8 Zr 3.60
Zr 0.0000 0.5000 0.2500  4 Zr 3.35, 4 Ba 3.60, 4 Ca 3.60

---

A plane-wave DFT calculation with PBE was carried out for an optimized crystal structure of BaCaZr.

## Properties
- Formation energy from the elements: 1.06 eV per formula unit
- Mass density: 3.89 g/cm3
- Size of the total moment: 0.00 μB per formula unit
- DOS at the Fermi energy: 4.55 states/eV/f.u.

Cell lengths 3.6367, 6.6308, 10.1496 Å; angles 75.33, 81.32, 76.42 degrees
Closest atoms and distances in Å follow each position.
Space group P1 (No. 1)
Symmetry-distinct sites (fractional):
Ba 0.0000 0.0000 0.0000  5 Zr 3.58-3.74, 2 Ba 3.64, 2 Ca 3.87-3.90
Ba 0.3173 0.8893 0.4098  2 Zr 3.57-3.59, 2 Ba 3.64, 2 Ca 3.92-4.00
Ca 0.0060 0.3409 0.6248  5 Zr 3.51-3.74, 2 Ca 3.64, 1 Ba 3.90
Ca 0.6961 0.4438 0.2031  2 Zr 3.56-3.60, 2 Ca 3.64, 2 Ba 3.87-3.92
Zr 0.3095 0.5109 0.8886  2 Zr 2.87-3.04
Zr 0.7053 0.8286 0.7236  2 Zr 2.87-3.04

---

A plane-wave DFT calculation with PBE was carried out for an optimized crystal structure of BaCaZr2.

## Properties
- Formation energy from the elements: 3.93 eV per formula unit
- Mass density: 4.74 g/cm3
- Size of the total moment: 0.00 μB per formula unit
- DOS at the Fermi energy: 6.69 states/eV/f.u.

Cell lengths 8.9401, 8.9401, 6.3114 Å; angles 90.00, 90.00, 90.00 degrees
Closest atoms and distances in Å follow each position.
Space group I-42d (No. 122)
Symmetry-distinct sites (fractional):
Ba 0.0000 0.0000 0.0000  2 Ca 3.16, 4 Zr 3.26
Ca 0.0000 0.0000 0.5000  2 Ba 3.16, 4 Zr 3.25
Zr 0.2494 0.2500 0.6250  2 Zr 3.16, 2 Ca 3.25, 2 Ba 3.26

---

A plane-wave DFT calculation with PBE was carried out for an optimized crystal structure of BaCa3Zr.

## Properties
- Formation energy from the elements: 6.33 eV per formula unit
- Mass density: 3.06 g/cm3
- Size of the total moment: 0.00 μB per formula unit
- DOS at the Fermi energy: 0.91 states/eV/f.u.

Cell lengths 5.7446, 5.7446, 5.7446 Å; angles 90.00, 90.00, 90.00 degrees
Closest atoms and distances in Å follow each position.
Space group Pm-3m (No. 221)
Symmetry-distinct sites (fractional):
Ba 0.0000 0.0000 0.0000  6 Ca 2.87
Ca 0.0000 0.0000 0.5000  2 Ba 2.87
Zr 0.5000 0.5000 0.5000  12 Ca 4.06

---

A plane-wave DFT calculation with PBE was carried out for an optimized crystal structure of BaCaZr2.

## Properties
- Formation energy from the elements: 3.19 eV per formula unit
- Mass density: 4.82 g/cm3
- Size of the total moment: 0.00 μB per formula unit
- DOS at the Fermi energy: 8.08 states/eV/f.u.

Cell lengths 5.9061, 5.9061, 3.5571 Å; angles 90.00, 90.00, 90.00 degrees
Closest atoms and distances in Å follow each position.
Space group P4/mmm (No. 123)
Symmetry-distinct sites (fractional):
Ba 0.0000 0.0000 0.0000  8 Zr 3.45, 2 Ba 3.56
Ca 0.5000 0.5000 0.0000  8 Zr 3.45, 2 Ca 3.56
Zr 0.0000 0.5000 0.5000  4 Ca 3.45, 4 Ba 3.45, 2 Zr 3.56